VASP calculation (PBE+U) on a relaxed structure of PmVIn2O6.

Raw total energy: -68.3 eV per cell
Space-group type: P1, No. 1
Mass density: 6458 kg/m3

Cell lengths 5.5748, 5.5728, 5.9214 Å; angles 61.25, 62.21, 60.73 degrees
With the nearest neighbours (Å) after each atom.
Element x y z (fractional)
O: 0.9295 0.6039 0.2447  2 In 2.15-2.23, 1 V 2.19
O: 0.1464 0.3888 0.7635  1 V 2.10, 2 In 2.15-2.32, 1 Pm 2.27
O: 0.7061 0.1432 0.7594  1 V 2.12, 2 In 2.14-2.31, 1 Pm 2.28
O: 0.3863 0.7008 0.7658  1 V 2.05, 1 In 2.15, 1 Pm 2.29
O: 0.5951 0.2317 0.2355  1 V 2.04, 1 In 2.17
O: 0.2223 0.9377 0.2433  1 V 2.09, 2 In 2.17-2.29
Pm: 0.8030 0.7977 0.5984  6 O 2.27-2.53
In: 0.5279 0.5278 0.4148  6 O 2.15-2.35
In: 0.0188 0.0136 0.9468  6 O 2.14-2.32
V: 0.3263 0.3166 0.0427  6 O 2.04-2.19